No. 1
# RbCeBr3

An optimized crystal structure of RbCeBr3 (PBE, Alexandria via LeMat-Bulk).

a = 4.259 Å, b = 9.795 Å, c = 16.989 Å
α = 90.00°, β = 90.00°, γ = 90.00°
Last column: magnetic moment on the atom in μB.
Positions (direct):
Rb1 0.250 0.932 0.325  0.00
Rb2 0.750 0.068 0.675  0.00
Rb3 0.750 0.568 0.825  0.00
Rb4 0.250 0.432 0.175  0.00
Ce1 0.250 0.633 0.548  1.42
Ce2 0.750 0.367 0.452  1.42
Ce3 0.750 0.867 0.048  1.42
Ce4 0.250 0.133 0.952  1.42
Br1 0.750 0.222 0.297  0.00
Br2 0.250 0.666 0.992  0.00
Br3 0.250 0.047 0.124  -0.01
Br4 0.250 0.547 0.376  -0.01
Br5 0.250 0.166 0.508  0.00
Br6 0.750 0.453 0.624  -0.01
Br7 0.250 0.278 0.797  0.00
Br8 0.750 0.953 0.876  -0.01
Br9 0.750 0.334 0.008  0.00
Br10 0.750 0.722 0.203  0.00
Br11 0.750 0.834 0.492  0.00
Br12 0.250 0.778 0.703  0.00

Summary:
space group: Pnma (62)
energy above the most stable polymorph in this dataset: 0.000 eV per atom

---

No. 2
# TiVS2N

An optimized crystal structure of TiVS2N (PBE, Alexandria via LeMat-Bulk).

a = 4.653 Å, b = 4.653 Å, c = 3.591 Å
α = 90.00°, β = 90.00°, γ = 90.00°
Last column: magnetic moment on the atom in μB.
Positions (direct):
N1 0.000 0.000 0.500  -0.03
S1 0.000 0.500 0.000  -0.02
S2 0.500 0.000 0.000  -0.02
Ti1 0.500 0.500 0.500  0.13
V1 0.000 0.000 0.000  0.18

Summary:
space group: P4/mmm (123)
energy above the most stable polymorph in this dataset: 0.000 eV per atom

---

No. 3
# GaRhS2

An optimized crystal structure of GaRhS2 (PBE, Alexandria via LeMat-Bulk).

a = 7.873 Å, b = 7.873 Å, c = 7.873 Å
α = 26.12°, β = 26.12°, γ = 26.12°
Positions (direct):
S1 0.886 0.886 0.886
S2 0.114 0.114 0.114
Rh1 0.500 0.500 0.500
Ga1 0.000 0.000 0.000

Summary:
space group: R-3m (166)
energy: -4.90 eV/atom

---

No. 4
# GaBi2IrI

An optimized crystal structure of GaBi2IrI (PBE, Alexandria via LeMat-Bulk).

a = 5.609 Å, b = 4.685 Å, c = 5.609 Å
α = 90.00°, β = 90.00°, γ = 90.00°
Positions (direct):
I1 0.500 0.500 0.500
Ir1 0.000 0.500 0.000
Bi1 0.000 0.000 0.500
Bi2 0.500 0.000 0.000
Ga1 0.000 0.000 0.000

Summary:
space group: P4/mmm (123)
energy: -3.49 eV/atom

---

No. 5
# Sc4SnC

An optimized crystal structure of Sc4SnC (PBE, Alexandria via LeMat-Bulk).

a = 5.600 Å, b = 6.392 Å, c = 7.657 Å
α = 105.86°, β = 111.45°, γ = 90.00°
Last column: magnetic moment on the atom in μB.
Positions (direct):
Sc1 0.484 0.064 0.797  0.06
Sc2 0.687 0.436 0.203  0.06
Sc3 0.516 0.936 0.203  0.06
Sc4 0.313 0.564 0.797  0.06
Sc5 0.869 0.832 0.613  0.04
Sc6 0.255 0.668 0.387  0.04
Sc7 0.131 0.168 0.387  0.04
Sc8 0.745 0.332 0.613  0.04
Sn1 0.895 0.750 0.000  0.00
Sn2 0.105 0.250 0.000  0.00
C1 0.500 0.000 0.500  -0.01
C2 0.000 0.500 0.500  -0.01

Summary:
space group: C2/c (15)
E_form: -0.429 eV/atom

---

No. 6
# Nb3SbF

An optimized crystal structure of Nb3SbF (PBE, Alexandria via LeMat-Bulk).

a = 5.122 Å, b = 5.122 Å, c = 5.122 Å
α = 90.00°, β = 90.00°, γ = 90.00°
Positions (direct):
Sb1 0.000 0.000 0.000
Nb1 0.000 0.500 0.000
Nb2 0.000 0.000 0.500
Nb3 0.500 0.000 0.000
F1 0.500 0.500 0.500

Summary:
space group: Pm-3m (221)
energy above the most stable polymorph in this dataset: 1.708 eV per atom

---

No. 7
# Tc2AuBr

An optimized crystal structure of Tc2AuBr (PBE, Alexandria via LeMat-Bulk).

a = 4.836 Å, b = 4.836 Å, c = 4.836 Å
α = 128.55°, β = 128.55°, γ = 75.73°
Positions (direct):
Au1 0.500 0.500 0.000
Tc1 0.000 0.000 0.000
Tc2 0.250 0.750 0.500
Br1 0.750 0.250 0.500

Summary:
space group: I-4m2 (119)
energy above the most stable polymorph in this dataset: 0.730 eV per atom

---

No. 8
# Pm5Ge2F

An optimized crystal structure of Pm5Ge2F (PBE, Alexandria via LeMat-Bulk).

a = 5.669 Å, b = 6.616 Å, c = 14.430 Å
α = 90.00°, β = 90.00°, γ = 115.37°
Positions (direct):
Pm1 0.937 0.874 0.892
Pm2 0.937 0.874 0.608
Pm3 0.368 0.736 0.442
Pm4 0.368 0.736 0.058
Pm5 0.692 0.383 0.250
Pm6 0.308 0.617 0.750
Pm7 0.632 0.264 0.558
Pm8 0.632 0.264 0.942
Pm9 0.063 0.126 0.108
Pm10 0.063 0.126 0.392
Ge1 0.816 0.631 0.418
Ge2 0.816 0.631 0.082
Ge3 0.184 0.369 0.582
Ge4 0.184 0.369 0.918
F1 0.833 0.666 0.750
F2 0.167 0.334 0.250

Summary:
space group: Cmcm (63)
energy: -5.20 eV/atom

---

No. 9
# Zn2Ag7Sn2Hg

An optimized crystal structure of Zn2Ag7Sn2Hg (PBE, Alexandria via LeMat-Bulk).

a = 4.191 Å, b = 4.191 Å, c = 14.541 Å
α = 73.82°, β = 73.82°, γ = 91.18°
Positions (direct):
Zn1 0.817 0.817 0.683
Zn2 0.183 0.183 0.317
Ag1 0.500 0.500 0.000
Ag2 0.237 0.237 0.500
Ag3 0.763 0.763 0.500
Ag4 0.838 0.337 0.164
Ag5 0.337 0.838 0.164
Ag6 0.663 0.162 0.836
Ag7 0.162 0.663 0.836
Sn1 0.677 0.677 0.322
Sn2 0.323 0.323 0.678
Hg1 0.000 0.000 0.000

Summary:
space group: C2/m (12)
E_form: 0.066 eV/atom

---

No. 10
# LiNbGe2

An optimized crystal structure of LiNbGe2 (PBE, Alexandria via LeMat-Bulk).

a = 3.316 Å, b = 4.434 Å, c = 4.434 Å
α = 90.00°, β = 90.00°, γ = 90.00°
Positions (direct):
Nb1 0.500 0.000 0.000
Ge1 0.000 0.000 0.500
Ge2 0.000 0.500 0.000
Li1 0.500 0.500 0.500

Summary:
space group: P4/mmm (123)
E_form: -0.148 eV/atom
energy above the most stable polymorph in this dataset: 0.049 eV per atom

---

No. 11
# CaFe2Rh2

An optimized crystal structure of CaFe2Rh2 (PBE, Alexandria via LeMat-Bulk).

a = 7.470 Å, b = 7.470 Å, c = 2.892 Å
α = 90.00°, β = 90.00°, γ = 90.00°
Last column: magnetic moment on the atom in μB.
Positions (direct):
Ca1 0.000 0.000 0.000  -0.02
Ca2 0.500 0.500 0.000  -0.02
Rh1 0.359 0.859 0.000  0.66
Rh2 0.859 0.641 0.000  0.67
Rh3 0.641 0.141 0.000  0.66
Rh4 0.141 0.359 0.000  0.67
Fe1 0.150 0.650 0.500  3.03
Fe2 0.650 0.850 0.500  3.06
Fe3 0.850 0.350 0.500  3.03
Fe4 0.350 0.150 0.500  3.06

Summary:
space group: P4/mbm (127)
E_form: 0.004 eV/atom

---

Number 1: DOS at the Fermi energy 5.57 states/eV/f.u.. Number 2: DOS at the Fermi energy 5.16 states/eV/f.u.. Number 3: DOS at the Fermi energy 2.42 states/eV/f.u.. Number 4: DOS at the Fermi energy 5.35 states/eV/f.u.. Number 5: DOS at the Fermi energy 7.82 states/eV/f.u.. Number 6: DOS at the Fermi energy 6.75 states/eV/f.u.. Number 7: DOS at the Fermi energy 2.69 states/eV/f.u.. Number 8: DOS at the Fermi energy 5.71 states/eV/f.u.. Number 9: DOS at the Fermi energy 4.54 states/eV/f.u.. Number 10: DOS at the Fermi energy 2.27 states/eV/f.u.. Number 11: DOS at the Fermi energy 3.86 states/eV/f.u..